Entry 1:
A plane-wave DFT calculation with PBE-GGA was carried out for a geometry-optimized Y2ZnGe structure.

POSCAR file:
```
Y2ZnGe
1.0
4.549 0.000 0.000
-2.275 3.940 0.000
0.000 0.000 16.695
Y Zn Ge
6 3 3
direct
0.000 0.000 0.246 Y
0.000 0.000 0.754 Y
0.333 0.667 0.421 Y
0.333 0.667 0.913 Y
0.667 0.333 0.087 Y
0.667 0.333 0.579 Y
0.000 0.000 0.000 Zn
0.333 0.667 0.667 Zn
0.667 0.333 0.333 Zn
0.000 0.000 0.500 Ge
0.333 0.667 0.167 Ge
0.667 0.333 0.833 Ge
```

Computed properties:
Symmetry = R-3m
V = 299.23 Å³ per cell
ΔE_f = -1.93 eV per formula unit

Entry 2:
A plane-wave DFT calculation with PBE-GGA was carried out for a geometry-optimized CsGa4Sn12 structure.

POSCAR file:
```
CsGa4Sn12
1.0
-4.963 4.963 4.963
4.963 -4.963 4.963
4.963 4.963 -4.963
Cs Ga Sn
1 4 12
direct
0.000 0.000 0.000 Cs
0.000 0.000 0.500 Ga
0.000 0.500 0.000 Ga
0.500 0.000 0.000 Ga
0.500 0.500 0.500 Ga
0.154 0.508 0.354 Sn
0.154 0.800 0.646 Sn
0.200 0.354 0.846 Sn
0.354 0.154 0.508 Sn
0.354 0.846 0.200 Sn
0.492 0.646 0.846 Sn
0.508 0.354 0.154 Sn
0.646 0.154 0.800 Sn
0.646 0.846 0.492 Sn
0.800 0.646 0.154 Sn
0.846 0.200 0.354 Sn
0.846 0.492 0.646 Sn
```

Computed properties:
Symmetry = Im-3
V = 488.96 Å³ per cell
ΔE_f = 0.19 eV per formula unit

Entry 3:
A plane-wave DFT calculation with PBE-GGA was carried out for a geometry-optimized SrSmPdPt structure.

POSCAR file:
```
SrSmPdPt
1.0
4.448 0.000 0.000
0.000 4.000 0.000
0.000 0.000 11.409
Sr Sm Pd Pt
2 2 2 2
direct
0.000 0.000 0.000 Sr
0.000 0.500 0.500 Sr
0.500 0.000 0.725 Sm
0.500 0.500 0.225 Sm
0.500 0.000 0.430 Pd
0.500 0.500 0.930 Pd
0.000 0.000 0.271 Pt
0.000 0.500 0.771 Pt
```

Computed properties:
Symmetry = Amm2
V = 202.98 Å³ per cell
ΔE_f = -3.40 eV per formula unit

Entry 4:
A plane-wave DFT calculation with PBE-GGA was carried out for a geometry-optimized LaTcSb2 structure.

POSCAR file:
```
LaTcSb2
1.0
7.194 0.000 0.000
0.000 7.194 0.000
0.000 0.000 7.194
La Tc Sb
4 4 8
direct
0.000 0.000 0.000 La
0.000 0.500 0.500 La
0.500 0.000 0.500 La
0.500 0.500 0.000 La
0.000 0.000 0.500 Tc
0.000 0.500 0.000 Tc
0.500 0.000 0.000 Tc
0.500 0.500 0.500 Tc
0.250 0.250 0.250 Sb
0.250 0.250 0.750 Sb
0.250 0.750 0.250 Sb
0.250 0.750 0.750 Sb
0.750 0.250 0.250 Sb
0.750 0.250 0.750 Sb
0.750 0.750 0.250 Sb
0.750 0.750 0.750 Sb
```

Computed properties:
Uncorrected formation energy = -0.187 eV/atom
Symmetry = Fm-3m
V = 372.27 Å³ per cell

Entry 5:
A plane-wave DFT calculation with PBE-GGA was carried out for a geometry-optimized Pa2Nb structure.

POSCAR file:
```
Pa2Nb
1.0
0.000 4.118 4.118
4.118 0.000 4.118
4.118 4.118 0.000
Pa Nb
4 2
direct
0.000 0.000 0.000 Pa
0.000 0.000 0.500 Pa
0.000 0.500 0.000 Pa
0.500 0.000 0.000 Pa
0.375 0.375 0.375 Nb
0.625 0.625 0.625 Nb
```

Computed properties:
Symmetry = Fd-3m
V = 139.65 Å³ per cell
ΔE_f = 1.69 eV per formula unit

Entry 6:
A plane-wave DFT calculation with PBE-GGA was carried out for a geometry-optimized TiRe2NiN structure.

POSCAR file:
```
TiRe2NiN
1.0
3.997 0.000 0.000
0.000 3.997 0.000
0.000 0.000 4.042
Ti Re Ni N
1 2 1 1
direct
0.000 0.000 0.000 Ti
0.000 0.500 0.500 Re
0.500 0.000 0.500 Re
0.500 0.500 0.000 Ni
0.000 0.000 0.500 N
```

Computed properties:
Uncorrected formation energy = -0.161 eV/atom
Symmetry = P4/mmm
V = 64.58 Å³ per cell

Entry 7:
A plane-wave DFT calculation with PBE-GGA was carried out for a geometry-optimized Re2IrS structure.

POSCAR file:
```
Re2IrS
1.0
5.461 0.000 0.000
0.000 5.461 0.000
0.000 0.000 10.678
Re Ir S
8 4 4
direct
0.229 0.250 0.125 Re
0.250 0.729 0.375 Re
0.250 0.771 0.875 Re
0.271 0.250 0.625 Re
0.729 0.750 0.625 Re
0.750 0.229 0.875 Re
0.750 0.271 0.375 Re
0.771 0.750 0.125 Re
0.000 0.000 0.500 Ir
0.000 0.500 0.750 Ir
0.500 0.000 0.250 Ir
0.500 0.500 0.000 Ir
0.000 0.000 0.000 S
0.000 0.500 0.250 S
0.500 0.000 0.750 S
0.500 0.500 0.500 S
```

Computed properties:
Uncorrected formation energy = 0.706 eV/atom
Symmetry = I-42d
V = 318.51 Å³ per cell